Record 1
First-principles (PBE) data for a relaxed HfTa3Se crystal, as listed in OQMD.

a b c (Å): 4.723 4.723 4.723
angles (deg): 90.00 90.00 90.00
Element x y z (fractional)
Hf 0.000 0.000 0.000
Ta 0.000 0.500 0.500
Ta 0.500 0.000 0.500
Ta 0.500 0.500 0.000
Se 0.500 0.500 0.500

Calculated values
Total magnetic moment, μB/atom: 0.001
Total DFT energy (no corrections), eV/atom: -9.16
Volume, Å³/f.u.: 105.4

=====

Record 2
First-principles (PBE) data for a relaxed TbHfSe2 crystal, as listed in OQMD.

a b c (Å): 3.681 3.681 14.867
angles (deg): 90.00 90.00 120.00
Element x y z (fractional)
Tb 0.000 0.000 0.000
Tb 0.000 0.000 0.500
Hf 0.333 0.667 0.250
Hf 0.667 0.333 0.750
Se 0.333 0.667 0.635
Se 0.333 0.667 0.865
Se 0.667 0.333 0.135
Se 0.667 0.333 0.365

Calculated values
Total magnetic moment, μB/atom: 0.000
Total DFT energy (no corrections), eV/atom: -6.65
Volume, Å³/f.u.: 87.2